## InBrCl2 (PBE-GGA)

Data for a relaxed structure of InBrCl2.

Lattice parameters (Å, degrees): 5.126 5.126 5.126 60.00 60.00 60.00
Atoms (fractional coordinates):
In1 0.000 0.000 0.000
Br1 0.500 0.500 0.500
Cl1 0.250 0.250 0.250
Cl2 0.750 0.750 0.750

Results
Density of states at the Fermi level (states/eV per atom): 1.190
Formation energy (no corrections) (eV per atom): -0.122
Calculated density (g/cm³): 4.63
E_tot (eV/atom): -2.15